# In12Hg6Ge

A relaxed structure of In12Hg6Ge (PBE, Alexandria via LeMat-Bulk).

```
In12Hg6Ge
1.0
-7.181 -3.020 2.486
2.181 -5.849 5.281
-1.092 3.573 7.273
In Hg Ge
12 6 1
Cartesian
-3.860 -0.853 6.090 In
-0.836 -1.772 6.991 In
-2.807 -3.899 5.444 In
-2.231 -4.443 8.951 In
-5.256 -3.525 8.049 In
-3.285 -1.397 9.597 In
-4.864 -5.963 10.254 In
-3.564 -1.861 2.952 In
0.027 -2.948 4.023 In
-1.227 0.667 4.788 In
-2.528 -3.435 12.090 In
-6.118 -2.349 11.018 In
-2.115 1.037 8.141 Hg
-6.055 -0.336 8.170 Hg
-0.100 -2.140 9.946 Hg
-3.977 -6.331 6.900 Hg
-0.036 -4.961 6.872 Hg
-5.993 -3.156 5.095 Hg
-6.091 -5.296 15.040 Ge
```

DOS at the Fermi energy in states/eV per cell: 6.6
E_tot in eV per atom: -2.017
DFT formation energy in kJ/mol of formula units: 94